CuAu2: single point on PBEsol structure, SCAN.

## Properties
The formation energy from the elements is -0.039 eV per atom. The energy above the most stable polymorph in this dataset comes out at 9 kJ/mol of formula units. The calculation puts the raw total energy at -51.21 eV per atom. The value obtained for the spin magnetization is 0.0 μB/cell.

Cell: 7.493 7.493 2.812 Å, 90.00 90.00 120.00°
Positions (direct):
Cu: 0.000 0.000 0.000
Cu: 0.333 0.667 0.500
Cu: 0.667 0.333 0.500
Au: 0.000 0.370 0.000
Au: 0.000 0.703 0.500
Au: 0.297 0.297 0.500
Au: 0.370 0.000 0.000
Au: 0.630 0.630 0.000
Au: 0.703 0.000 0.500